Here is a geometry-optimized TbY4Hg structure from Alexandria. Energies are from PBE-GGA.

a = 6.368 Å, b = 8.966 Å, c = 8.273 Å
α = 113.23°, β = 100.21°, γ = 112.52°
Sites, in units of the cell vectors:
1 Tb 0.350 0.600 0.201
2 Tb 0.650 0.400 0.799
3 Y 0.041 0.174 0.781
4 Y 0.761 0.712 0.624
5 Y 0.240 0.607 0.781
6 Y 0.363 0.911 0.624
7 Y 0.637 0.089 0.376
8 Y 0.760 0.393 0.219
9 Y 0.239 0.288 0.376
10 Y 0.959 0.826 0.219
11 Hg 0.250 0.000 0.000
12 Hg 0.750 0.000 0.000

Properties
The space group is C2/c, No. 15. Its formation energy is -58 meV/atom. As for the density: 6.42 g/cm³.

=====

Here is a geometry-optimized Co2SbSe structure from Alexandria. Energies are from PBE-GGA.

a = 3.123 Å, b = 3.107 Å, c = 7.090 Å
α = 64.05°, β = 90.00°, γ = 90.00°
Sites, in units of the cell vectors:
1 Co 0.000 0.034 0.966
2 Co 0.000 0.466 0.534
3 Sb 0.500 0.250 0.250
4 Se 0.500 0.750 0.750

Properties
The uncorrected formation energy comes out at 275 meV per atom. The space group is Pmmm, No. 47. As for the density: 8.55 g/cm³.

=====

Here is a geometry-optimized Al2PtPb structure from Alexandria. Energies are from PBE-GGA.

a = 4.591 Å, b = 4.591 Å, c = 9.000 Å
α = 75.22°, β = 75.22°, γ = 90.00°
Sites, in units of the cell vectors:
1 Pb 0.000 0.000 0.000
2 Pb 0.750 0.250 0.500
3 Al 0.536 0.125 0.250
4 Al 0.214 0.625 0.250
5 Al 0.375 0.464 0.750
6 Al 0.875 0.786 0.750
7 Pt 0.500 0.500 0.000
8 Pt 0.250 0.750 0.500

Properties
The space group is I-42d, No. 122. Its formation energy is -156 meV/atom. As for the density: 8.56 g/cm³.

=====

Here is a geometry-optimized CaRuIN2 structure from Alexandria. Energies are from PBE-GGA.

a = 4.469 Å, b = 4.469 Å, c = 6.269 Å
α = 90.00°, β = 90.00°, γ = 90.00°
Sites, in units of the cell vectors:
1 I 0.000 0.000 0.500
2 Ru 0.500 0.500 0.500
3 Ca 0.000 0.000 0.000
4 N 0.000 0.500 0.000
5 N 0.500 0.000 0.000

Properties
The uncorrected formation energy comes out at 1815 meV per atom. The space group is P4/mmm, No. 123. As for the energy above the most stable polymorph in this dataset: 6.98 eV/f.u. As for the density: 3.93 g/cm³.

=====

Here is a geometry-optimized ThScSb structure from Alexandria. Energies are from PBE-GGA.

a = 3.881 Å, b = 4.973 Å, c = 4.973 Å
α = 120.00°, β = 90.00°, γ = 90.00°
Sites, in units of the cell vectors:
1 Sc 0.167 0.667 0.333
2 Sb 0.166 0.000 0.000
3 Th 0.667 0.333 0.667

Properties
The uncorrected formation energy comes out at -380 meV per atom. The space group is P-6m2, No. 187. As for the density: 7.97 g/cm³.

=====

Here is a geometry-optimized Ta4FeAs structure from Alexandria. Energies are from PBE-GGA.

a = 5.407 Å, b = 5.407 Å, c = 5.407 Å
α = 60.00°, β = 60.00°, γ = 60.00°
Sites, in units of the cell vectors:
1 Ta 0.876 0.375 0.375
2 Ta 0.375 0.375 0.876
3 Ta 0.375 0.876 0.375
4 Ta 0.375 0.375 0.375
5 Fe 0.000 0.000 0.000
6 As 0.750 0.750 0.750

Properties
The space group is F-43m, No. 216. Its formation energy is 685 meV/atom. As for the density: 12.70 g/cm³.